Entry 1:
# PBE-GGA KNi2Ag, optimized geometry
# Energy of formation from the pure elements = 0.89 eV/atom
data_KNi2Ag
_symmetry_space_group_name_H-M 'F -4 3 m'
_symmetry_Int_Tables_number 216
_symmetry_space_group_name_Hall 'F -4 2 3'
_cell_length_a 6.618
_cell_length_b 6.618
_cell_length_c 6.618
_cell_angle_alpha 90.00
_cell_angle_beta 90.00
_cell_angle_gamma 90.00
loop_
_atom_site_label
_atom_site_type_symbol
_atom_site_fract_x
_atom_site_fract_y
_atom_site_fract_z
K1 K 0.000 0.000 0.000
Ni1 Ni 0.000 0.000 0.500
Ni2 Ni 0.250 0.250 0.750
Ag1 Ag 0.250 0.250 0.250



Entry 2:
# PBE-GGA Ac2AgSn4Hg3, optimized geometry
# Energy of formation from the pure elements = -0.31 eV/atom
data_Ac2AgSn4Hg3
_symmetry_space_group_name_H-M 'P -4 m 2'
_symmetry_Int_Tables_number 115
_symmetry_space_group_name_Hall 'P -4 -2'
_cell_length_a 4.919
_cell_length_b 4.919
_cell_length_c 11.709
_cell_angle_alpha 90.00
_cell_angle_beta 90.00
_cell_angle_gamma 90.00
loop_
_atom_site_label
_atom_site_type_symbol
_atom_site_fract_x
_atom_site_fract_y
_atom_site_fract_z
Ac1 Ac 0.000 0.500 0.238
Ag1 Ag 0.500 0.500 0.000
Sn1 Sn 0.000 0.000 0.500
Sn2 Sn 0.000 0.500 0.873
Sn3 Sn 0.500 0.500 0.500
Hg1 Hg 0.000 0.000 0.000
Hg2 Hg 0.000 0.500 0.638